Compound: ZrReMo2
Source: the Alexandria database
Functional: PBE
Structure: relaxed

Computed properties:
distance to the lowest polymorph of the same formula = 0.000 eV per formula unit
DOS(E_F) = 2.3 states/eV/f.u.
ΔH_f (0 K) = -95 meV/atom
volume = 16.8 Å³ per atom
SG = No. 216

Cell: 6.4474 6.4474 6.4474 Å, 90.00 90.00 90.00°
Fractional positions:
Zr 0.0000 0.0000 0.0000
Zr 0.0000 0.5000 0.5000
Zr 0.5000 0.0000 0.5000
Zr 0.5000 0.5000 0.0000
Re 0.2500 0.2500 0.2500
Re 0.2500 0.7500 0.7500
Re 0.7500 0.2500 0.7500
Re 0.7500 0.7500 0.2500
Mo 0.0000 0.0000 0.5000
Mo 0.0000 0.5000 0.0000
Mo 0.2500 0.2500 0.7500
Mo 0.2500 0.7500 0.2500
Mo 0.5000 0.0000 0.0000
Mo 0.5000 0.5000 0.5000
Mo 0.7500 0.2500 0.2500
Mo 0.7500 0.7500 0.7500